{"formula": "ThCuNiHg", "functional": "GGA-PBE", "state": "relaxed", "lattice_angstrom": [[-1.0559, -1.5874, -4.3779], [3.4939, -1.3917, -2.9422], [0.5318, -4.6266, -1.0547]], "species": ["Th", "Cu", "Ni", "Hg"], "fractional_positions": [[0.0000, 0.0000, 0.0000], [0.2500, 0.2500, 0.2500], [0.7500, 0.7500, 0.7500], [0.5000, 0.5000, 0.5000]], "dos_ef_per_ev_cell": 2.9, "magmom_total_mub_per_atom": 0.000, "formation_enthalpy_0k_ev_per_atom": -0.166}



{"formula": "TlCu2NiHg", "functional": "GGA-PBE", "state": "relaxed", "lattice_angstrom": [[-3.5766, 0.7321, -3.2606], [-2.6801, -3.4588, 2.1632], [-1.9860, 3.3754, 2.9364]], "species": ["Cu", "Cu", "Hg", "Tl", "Ni"], "fractional_positions": [[0.0000, 0.0000, 0.5000], [0.5000, 0.0000, 0.0000], [0.5000, 0.5000, 0.5000], [0.0000, 0.0000, 0.0000], [0.0000, 0.5000, 0.0000]], "dos_ef_per_ev_cell": 4.3, "magmom_total_mub_per_atom": 0.095, "formation_enthalpy_0k_ev_per_atom": 1.008}



{"formula": "VCu2NiHg", "functional": "GGA-PBE", "state": "relaxed", "lattice_angstrom": [[4.5086, 0.0000, 0.0000], [0.0000, 5.1021, 0.0000], [0.0000, 0.0000, 4.5086]], "species": ["Ni", "Cu", "V", "Hg", "Cu"], "fractional_positions": [[0.5000, 0.5000, 0.5000], [0.5000, 0.0000, 0.0000], [0.0000, 0.0000, 0.0000], [0.0000, 0.5000, 0.0000], [0.0000, 0.0000, 0.5000]], "dos_ef_per_ev_cell": 7.0, "magmom_total_mub_per_atom": 0.650, "formation_enthalpy_0k_ev_per_atom": 1.482}



{"formula": "NpCuHg", "functional": "GGA-PBE", "state": "relaxed", "lattice_angstrom": [[3.0379, 0.0000, 0.0000], [0.0000, 3.0379, 0.0000], [-1.5189, -1.5189, 6.4204]], "species": ["Cu", "Hg", "Np"], "fractional_positions": [[0.6740, 0.6740, 0.3480], [0.3137, 0.3137, 0.6275], [0.0123, 0.0123, 0.0245]], "dos_ef_per_ev_cell": 5.5, "magmom_total_mub_per_atom": 1.440, "formation_enthalpy_0k_ev_per_atom": 0.247}



{"formula": "NpCuHg", "functional": "GGA-PBE", "state": "relaxed", "lattice_angstrom": [[3.0131, 0.0000, 0.0000], [0.0000, 4.6817, 0.0000], [-1.5065, 0.0000, 7.9995]], "species": ["Hg", "Cu", "Hg", "Np", "Np", "Cu"], "fractional_positions": [[0.0700, 0.2500, 0.1400], [0.5874, 0.7500, 0.1749], [0.9300, 0.7500, 0.8600], [0.2500, 0.7500, 0.5000], [0.7500, 0.2500, 0.5000], [0.4126, 0.2500, 0.8251]], "dos_ef_per_ev_cell": 5.4, "magmom_total_mub_per_atom": 1.083, "formation_enthalpy_0k_ev_per_atom": 0.246}



{"formula": "NpCuHgO6", "functional": "GGA-PBE", "state": "relaxed", "lattice_angstrom": [[-4.6730, -2.3368, 0.9539], [4.3348, -2.9614, -0.8047], [1.9372, 0.1541, 9.8682]], "species": ["Hg", "Np", "O", "Np", "O", "O", "O", "Cu", "O", "O", "Hg", "O", "O", "O", "O", "Cu", "O", "O"], "fractional_positions": [[0.0000, 0.0000, 0.5000], [0.6667, 0.3333, 0.2500], [0.6403, 0.0000, 0.8590], [0.3333, 0.6667, 0.7500], [0.6403, 0.6403, 0.1410], [0.3597, 0.3597, 0.3590], [0.3597, 0.0000, 0.6410], [0.6667, 0.3333, 0.7500], [0.0000, 0.3597, 0.1410], [0.3597, 0.3597, 0.8590], [0.0000, 0.0000, 0.0000], [0.3597, 0.0000, 0.1410], [0.6403, 0.6403, 0.6410], [0.0000, 0.6403, 0.8590], [0.6403, 0.0000, 0.3590], [0.3333, 0.6667, 0.2500], [0.0000, 0.3597, 0.6410], [0.0000, 0.6403, 0.3590]], "dos_ef_per_ev_cell": 1.2, "e_form_raw_ev_per_atom": -1.318, "magmom_total_mub_per_atom": 0.221}



{"formula": "NpCu2HgO8", "functional": "GGA-PBE", "state": "relaxed", "lattice_angstrom": [[-4.9199, -2.1145, 2.4309], [2.9944, -4.6061, -2.0982], [3.1964, 2.9254, 3.9762]], "species": ["O", "Np", "O", "Hg", "Cu", "O", "O", "O", "O", "O", "Cu", "O"], "fractional_positions": [[0.8964, 0.6874, 0.2090], [0.2500, 0.7500, 0.5000], [0.4784, 0.6874, 0.7910], [0.0000, 0.0000, 0.0000], [0.7500, 0.2500, 0.5000], [0.9557, 0.2844, 0.3288], [0.9557, 0.6269, 0.6712], [0.3126, 0.5216, 0.2090], [0.3731, 0.0443, 0.3288], [0.3126, 0.1036, 0.7910], [0.5000, 0.5000, 0.0000], [0.7156, 0.0443, 0.6712]], "dos_ef_per_ev_cell": 8.2, "e_form_raw_ev_per_atom": -0.862, "magmom_total_mub_per_atom": 0.000}



{"formula": "NpCuHg2O6", "functional": "GGA-PBE", "state": "relaxed", "lattice_angstrom": [[-0.1937, -4.0166, 3.2953], [4.8506, -2.0304, -2.1897], [0.1820, 5.4891, 2.7221]], "species": ["O", "O", "O", "Np", "Hg", "O", "O", "Hg", "O", "Cu"], "fractional_positions": [[0.1927, 0.6898, 0.8492], [0.8073, 0.8406, 0.1508], [0.1927, 0.1594, 0.8492], [0.0000, 0.5000, 0.0000], [0.8118, 0.7720, 0.5441], [0.8073, 0.3102, 0.1508], [0.6573, 0.3167, 0.6334], [0.1882, 0.2280, 0.4559], [0.3427, 0.6833, 0.3666], [0.5000, 0.0000, 0.0000]], "dos_ef_per_ev_cell": 3.6, "e_form_raw_ev_per_atom": -1.260, "magmom_total_mub_per_atom": 0.198}